## Zr4HSe5 (GGA-PBE)

Data for a relaxed Zr4HSe5 crystal.

Unit cell a=8.368 b=8.368 c=7.376 alpha=101.51 beta=101.51 gamma=25.18
Fractional coordinates of all 10 atoms:
1 Zr 0.000 0.000 0.226
2 Zr 0.000 0.000 0.774
3 Zr 0.334 0.334 0.918
4 Zr 0.666 0.666 0.082
5 H 0.500 0.500 0.000
6 Se 0.165 0.165 0.344
7 Se 0.168 0.168 0.808
8 Se 0.500 0.500 0.500
9 Se 0.832 0.832 0.192
10 Se 0.835 0.835 0.656

Calculated values
Electronic total energy (eV/atom): -6.5324

=====

## ZrHSe (GGA-PBE)

Data for a relaxed ZrHSe crystal.

Unit cell a=6.300 b=5.078 c=7.029 alpha=90.00 beta=122.61 gamma=90.00
Fractional coordinates of all 12 atoms:
1 Zr 0.189 0.131 0.214
2 Zr 0.189 0.369 0.714
3 Zr 0.811 0.631 0.286
4 Zr 0.811 0.869 0.786
5 H 0.129 0.102 0.900
6 H 0.129 0.398 0.400
7 H 0.871 0.602 0.600
8 H 0.871 0.898 0.100
9 Se 0.289 0.621 0.103
10 Se 0.289 0.879 0.603
11 Se 0.711 0.121 0.397
12 Se 0.711 0.379 0.897

Calculated values
Electronic total energy (eV/atom): -6.0155

=====

## ZrHSe (GGA-PBE)

Data for a relaxed ZrHSe crystal.

Unit cell a=3.614 b=3.615 c=9.643 alpha=100.20 beta=90.23 gamma=119.97
Fractional coordinates of all 6 atoms:
1 Zr 0.213 0.423 0.141
2 Zr 0.787 0.577 0.859
3 H 0.142 0.285 0.924
4 H 0.858 0.715 0.076
5 Se 0.396 0.798 0.683
6 Se 0.604 0.202 0.317

Calculated values
Electronic total energy (eV/atom): -6.1111

=====

## ZrHSe2 (GGA-PBE)

Data for a relaxed ZrHSe2 crystal.

Unit cell a=7.130 b=3.209 c=7.474 alpha=90.00 beta=105.43 gamma=90.00
Fractional coordinates of all 8 atoms:
1 Zr 0.043 0.250 0.261
2 Zr 0.957 0.750 0.739
3 H 0.107 0.250 0.777
4 H 0.893 0.750 0.223
5 Se 0.252 0.750 0.557
6 Se 0.253 0.750 0.071
7 Se 0.747 0.250 0.929
8 Se 0.748 0.250 0.443

Calculated values
Electronic total energy (eV/atom): -5.4649

=====

## ZrHSe3 (GGA-PBE)

Data for a relaxed ZrHSe3 crystal.

Unit cell a=4.395 b=4.395 c=4.395 alpha=90.00 beta=90.00 gamma=90.00
Fractional coordinates of all 5 atoms:
1 Zr 0.000 0.000 0.000
2 H 0.500 0.500 0.500
3 Se 0.000 0.500 0.500
4 Se 0.500 0.000 0.500
5 Se 0.500 0.500 0.000

Calculated values
Electronic total energy (eV/atom): -4.2396

=====

## ZrHSe (GGA-PBE)

Data for a relaxed ZrHSe crystal.

Unit cell a=8.626 b=8.626 c=8.626 alpha=156.77 beta=156.77 gamma=33.09
Fractional coordinates of all 6 atoms:
1 Zr 0.088 0.088 0.000
2 Zr 0.912 0.912 0.000
3 H 0.000 0.500 0.500
4 H 0.500 0.000 0.500
5 Se 0.339 0.339 0.000
6 Se 0.661 0.661 0.000

Calculated values
Electronic total energy (eV/atom): -6.0193

=====

## ZrHSe3 (GGA-PBE)

Data for a relaxed ZrHSe3 crystal.

Unit cell a=5.245 b=5.245 c=5.245 alpha=90.00 beta=90.00 gamma=90.00
Fractional coordinates of all 5 atoms:
1 Zr 0.000 0.000 0.000
2 H 0.500 0.500 0.500
3 Se 0.000 0.000 0.500
4 Se 0.000 0.500 0.000
5 Se 0.500 0.000 0.000

Calculated values
Electronic total energy (eV/atom): -4.4317

=====

## ZrHSe (GGA-PBE)

Data for a relaxed ZrHSe crystal.

Unit cell a=3.404 b=3.404 c=8.531 alpha=90.00 beta=90.00 gamma=90.00
Fractional coordinates of all 6 atoms:
1 Zr 0.250 0.250 0.158
2 Zr 0.750 0.750 0.842
3 H 0.250 0.750 0.000
4 H 0.750 0.250 0.000
5 Se 0.250 0.250 0.686
6 Se 0.750 0.750 0.314

Calculated values
Electronic total energy (eV/atom): -6.0440

=====

## Zr4HSe3 (GGA-PBE)

Data for a relaxed Zr4HSe3 crystal.

Unit cell a=10.226 b=5.866 c=5.173 alpha=90.00 beta=90.00 gamma=90.00
Fractional coordinates of all 16 atoms:
1 Zr 0.000 0.164 0.000
2 Zr 0.000 0.829 0.508
3 Zr 0.241 0.828 0.998
4 Zr 0.259 0.172 0.498
5 Zr 0.500 0.171 0.008
6 Zr 0.500 0.836 0.500
7 Zr 0.741 0.172 0.498
8 Zr 0.759 0.828 0.998
9 H 0.000 0.824 0.931
10 H 0.500 0.176 0.431
11 Se 0.000 0.319 0.499
12 Se 0.248 0.682 0.499
13 Se 0.252 0.318 0.999
14 Se 0.500 0.681 0.999
15 Se 0.748 0.318 0.999
16 Se 0.752 0.682 0.499

Calculated values
Electronic total energy (eV/atom): -6.8973

=====

## Zr3H2Se2 (GGA-PBE)

Data for a relaxed Zr3H2Se2 crystal.

Unit cell a=5.427 b=7.165 c=6.347 alpha=90.00 beta=115.02 gamma=90.00
Fractional coordinates of all 14 atoms:
1 Zr 0.000 0.000 0.000
2 Zr 0.000 0.500 0.500
3 Zr 0.412 0.148 0.739
4 Zr 0.412 0.352 0.239
5 Zr 0.588 0.648 0.761
6 Zr 0.588 0.852 0.261
7 H 0.375 0.098 0.058
8 H 0.375 0.402 0.558
9 H 0.625 0.598 0.442
10 H 0.625 0.902 0.942
11 Se 0.181 0.649 0.931
12 Se 0.181 0.851 0.431
13 Se 0.819 0.149 0.569
14 Se 0.819 0.351 0.069

Calculated values
Electronic total energy (eV/atom): -6.4342

=====

## ZrHSe2 (GGA-PBE)

Data for a relaxed ZrHSe2 crystal.

Unit cell a=5.697 b=5.697 c=5.697 alpha=113.24 beta=113.24 gamma=102.17
Fractional coordinates of all 8 atoms:
1 Zr 0.000 0.000 0.000
2 Zr 0.750 0.250 0.500
3 H 0.250 0.750 0.500
4 H 0.500 0.500 0.000
5 Se 0.191 0.625 0.066
6 Se 0.375 0.441 0.566
7 Se 0.559 0.125 0.934
8 Se 0.875 0.809 0.434

Calculated values
Electronic total energy (eV/atom): -4.9897

=====

## ZrHSe (GGA-PBE)

Data for a relaxed ZrHSe crystal.

Unit cell a=5.286 b=5.286 c=6.394 alpha=118.58 beta=118.58 gamma=38.43
Fractional coordinates of all 6 atoms:
1 Zr 0.159 0.159 0.227
2 Zr 0.841 0.841 0.773
3 H 0.218 0.218 0.587
4 H 0.782 0.782 0.413
5 Se 0.423 0.423 0.165
6 Se 0.577 0.577 0.835

Calculated values
Electronic total energy (eV/atom): -6.0763